[1]
{
  "formula": "Ba3Se",
  "functional": "PBE",
  "state": "optimized geometry",
  "raw_formation_energy_ev_per_atom": -0.2581,
  "relative_energy_mev_per_atom": 666,
  "crystal_system": "cubic",
  "cell": [[0.000, 4.432, 4.432], [4.432, 0.000, 4.432], [4.432, 4.432, 0.000]],
  "species": ["Ba", "Ba", "Ba", "Se"],
  "fractional_positions": [[0.000, 0.000, 0.000], [0.250, 0.250, 0.250], [0.750, 0.750, 0.750], [0.500, 0.500, 0.500]]
}

***

[2]
{
  "formula": "Nd2Pu2Ir3",
  "functional": "PBE",
  "state": "optimized geometry",
  "crystal_system": "monoclinic",
  "formation_energy_ev_per_atom": -0.42,
  "cell": [[5.433, -2.202, 0.000], [5.433, 2.202, 0.000], [-1.250, 0.000, 7.615]],
  "species": ["Nd", "Nd", "Pu", "Pu", "Ir", "Ir", "Ir"],
  "fractional_positions": [[0.131, 0.131, 0.357], [0.869, 0.869, 0.643], [0.360, 0.360, 0.073], [0.640, 0.640, 0.927], [0.000, 0.000, 0.000], [0.191, 0.191, 0.739], [0.809, 0.809, 0.261]]
}

***

[3]
{
  "formula": "PuU3Os2",
  "functional": "PBE",
  "state": "optimized geometry",
  "crystal_system": "orthorhombic",
  "formation_energy_ev_per_atom": 0.01,
  "cell": [[2.448, -5.284, 0.000], [2.448, 5.284, 0.000], [0.000, 0.000, 4.391]],
  "species": ["Pu", "U", "U", "U", "Os", "Os"],
  "fractional_positions": [[0.000, 0.000, 0.000], [0.160, 0.840, 0.500], [0.500, 0.500, 0.500], [0.840, 0.160, 0.500], [0.312, 0.688, 0.000], [0.688, 0.312, 0.000]]
}

***

[4]
{
  "formula": "PmFe4Os",
  "functional": "PBE",
  "state": "optimized geometry",
  "crystal_system": "cubic",
  "formation_energy_ev_per_atom": 0.20,
  "cell": [[0.000, 3.550, 3.550], [3.550, 0.000, 3.550], [3.550, 3.550, 0.000]],
  "species": ["Pm", "Fe", "Fe", "Fe", "Fe", "Os"],
  "fractional_positions": [[0.000, 0.000, 0.000], [0.376, 0.376, 0.376], [0.376, 0.376, 0.873], [0.376, 0.873, 0.376], [0.873, 0.376, 0.376], [0.750, 0.750, 0.750]]
}

***

Number 1: D(E_F) 7.2 states/eV/f.u., DFT total energy -2.571 eV per atom. Number 2: D(E_F) 15.5 states/eV/f.u., DFT total energy -9.677 eV per atom. Number 3: D(E_F) 14.5 states/eV/f.u., DFT total energy -11.764 eV per atom. Number 4: D(E_F) 6.6 states/eV/f.u., DFT total energy -8.101 eV per atom.